[1]
# Ho2Zn5Pt4 (GGA-PBE, optimized geometry)
data_Ho2Zn5Pt4
_cell_length_a 9.515
_cell_length_b 8.768
_cell_length_c 5.257
_cell_angle_alpha 81.28
_cell_angle_beta 65.62
_cell_angle_gamma 33.10
_symmetry_space_group_name_H-M 'P 1'
_symmetry_Int_Tables_number 1
loop_
_symmetry_equiv_pos_as_xyz
'x,y,z'
loop_
_atom_site_label
_atom_site_fract_x
_atom_site_fract_y
_atom_site_fract_z
Ho1 0.143 0.143 0.857
Ho2 0.857 0.857 0.143
Zn1 0.000 0.000 0.500
Zn2 0.250 0.250 0.250
Zn3 0.500 0.500 0.000
Zn4 0.500 0.500 0.500
Zn5 0.750 0.750 0.750
Pt1 0.212 0.532 0.468
Pt2 0.468 0.788 0.212
Pt3 0.532 0.212 0.788
Pt4 0.788 0.468 0.532
# space-group type = No. 69
# E_form = -720 meV/atom

***

[2]
# HoZn12Pt6 (GGA-PBE, optimized geometry)
data_HoZn12Pt6
_cell_length_a 7.180
_cell_length_b 7.180
_cell_length_c 7.180
_cell_angle_alpha 105.27
_cell_angle_beta 105.27
_cell_angle_gamma 105.27
_symmetry_space_group_name_H-M 'P 1'
_symmetry_Int_Tables_number 1
loop_
_symmetry_equiv_pos_as_xyz
'x,y,z'
loop_
_atom_site_label
_atom_site_fract_x
_atom_site_fract_y
_atom_site_fract_z
Ho1 0.000 0.000 0.000
Zn1 0.110 0.500 0.890
Zn2 0.110 0.890 0.500
Zn3 0.138 0.386 0.386
Zn4 0.386 0.138 0.386
Zn5 0.386 0.386 0.138
Zn6 0.500 0.110 0.890
Zn7 0.500 0.890 0.110
Zn8 0.614 0.614 0.862
Zn9 0.614 0.862 0.614
Zn10 0.862 0.614 0.614
Zn11 0.890 0.110 0.500
Zn12 0.890 0.500 0.110
Pt1 0.282 0.282 0.711
Pt2 0.282 0.711 0.282
Pt3 0.289 0.718 0.718
Pt4 0.711 0.282 0.282
Pt5 0.718 0.289 0.718
Pt6 0.718 0.718 0.289
# space-group type = No. 166
# E_form = -376 meV/atom

***

[3]
# HoZn4Pt (GGA-PBE, optimized geometry)
data_HoZn4Pt
_cell_length_a 7.145
_cell_length_b 7.145
_cell_length_c 6.945
_cell_angle_alpha 90.00
_cell_angle_beta 90.00
_cell_angle_gamma 142.17
_symmetry_space_group_name_H-M 'P 1'
_symmetry_Int_Tables_number 1
loop_
_symmetry_equiv_pos_as_xyz
'x,y,z'
loop_
_atom_site_label
_atom_site_fract_x
_atom_site_fract_y
_atom_site_fract_z
Ho1 0.119 0.881 0.750
Ho2 0.881 0.119 0.250
Zn1 0.087 0.913 0.250
Zn2 0.272 0.728 0.081
Zn3 0.272 0.728 0.419
Zn4 0.500 0.500 0.000
Zn5 0.500 0.500 0.500
Zn6 0.728 0.272 0.581
Zn7 0.728 0.272 0.919
Zn8 0.913 0.087 0.750
Pt1 0.345 0.655 0.750
Pt2 0.655 0.345 0.250
# space-group type = No. 63
# E_form = -315 meV/atom
# polymorph energy (0 for the lowest one) = 87 meV per atom

***

[4]
# HoZn3Pt (GGA-PBE, optimized geometry)
data_HoZn3Pt
_cell_length_a 6.555
_cell_length_b 6.555
_cell_length_c 6.555
_cell_angle_alpha 145.15
_cell_angle_beta 145.15
_cell_angle_gamma 50.11
_symmetry_space_group_name_H-M 'P 1'
_symmetry_Int_Tables_number 1
loop_
_symmetry_equiv_pos_as_xyz
'x,y,z'
loop_
_atom_site_label
_atom_site_fract_x
_atom_site_fract_y
_atom_site_fract_z
Ho1 0.000 0.000 0.000
Zn1 0.244 0.744 0.500
Zn2 0.382 0.382 0.000
Zn3 0.744 0.244 0.500
Pt1 0.594 0.594 0.000
# space-group type = No. 107
# E_form = -580 meV/atom

***

[5]
# Ho4Zn5Pt6 (GGA-PBE, optimized geometry)
data_Ho4Zn5Pt6
_cell_length_a 10.481
_cell_length_b 10.481
_cell_length_c 14.162
_cell_angle_alpha 90.00
_cell_angle_beta 90.00
_cell_angle_gamma 158.05
_symmetry_space_group_name_H-M 'P 1'
_symmetry_Int_Tables_number 1
loop_
_symmetry_equiv_pos_as_xyz
'x,y,z'
loop_
_atom_site_label
_atom_site_fract_x
_atom_site_fract_y
_atom_site_fract_z
Ho1 0.027 0.973 0.500
Ho2 0.051 0.949 0.765
Ho3 0.140 0.860 0.277
Ho4 0.181 0.819 0.936
Ho5 0.819 0.181 0.436
Ho6 0.860 0.140 0.777
Ho7 0.949 0.051 0.265
Ho8 0.973 0.027 0.000
Zn1 0.182 0.818 0.612
Zn2 0.318 0.682 0.604
Zn3 0.326 0.674 0.268
Zn4 0.352 0.648 0.956
Zn5 0.464 0.536 0.657
Zn6 0.536 0.464 0.157
Zn7 0.648 0.352 0.456
Zn8 0.674 0.326 0.768
Zn9 0.682 0.318 0.104
Zn10 0.818 0.182 0.112
Pt1 0.097 0.903 0.088
Pt2 0.225 0.775 0.440
Pt3 0.255 0.745 0.763
Pt4 0.408 0.592 0.123
Pt5 0.419 0.581 0.419
Pt6 0.454 0.546 0.845
Pt7 0.546 0.454 0.345
Pt8 0.581 0.419 0.919
Pt9 0.592 0.408 0.623
Pt10 0.745 0.255 0.263
Pt11 0.775 0.225 0.940
Pt12 0.903 0.097 0.588
# space-group type = No. 36
# E_form = -855 meV/atom

***

[6]
# Ho4ZnPt (GGA-PBE, optimized geometry)
data_Ho4ZnPt
_cell_length_a 4.862
_cell_length_b 4.862
_cell_length_c 6.953
_cell_angle_alpha 90.00
_cell_angle_beta 90.00
_cell_angle_gamma 90.00
_symmetry_space_group_name_H-M 'P 1'
_symmetry_Int_Tables_number 1
loop_
_symmetry_equiv_pos_as_xyz
'x,y,z'
loop_
_atom_site_label
_atom_site_fract_x
_atom_site_fract_y
_atom_site_fract_z
Ho1 0.000 0.500 0.243
Ho2 0.000 0.500 0.757
Ho3 0.500 0.000 0.243
Ho4 0.500 0.000 0.757
Zn1 0.000 0.000 0.500
Pt1 0.500 0.500 0.000
# space-group type = No. 123
# E_form = -430 meV/atom
# polymorph energy (0 for the lowest one) = 164 meV per atom

***

[7]
# Ho8ZnPt2 (GGA-PBE, optimized geometry)
data_Ho8ZnPt2
_cell_length_a 7.870
_cell_length_b 7.870
_cell_length_c 5.530
_cell_angle_alpha 98.38
_cell_angle_beta 98.38
_cell_angle_gamma 114.25
_symmetry_space_group_name_H-M 'P 1'
_symmetry_Int_Tables_number 1
loop_
_symmetry_equiv_pos_as_xyz
'x,y,z'
loop_
_atom_site_label
_atom_site_fract_x
_atom_site_fract_y
_atom_site_fract_z
Ho1 0.000 0.000 0.000
Ho2 0.044 0.297 0.596
Ho3 0.139 0.610 0.189
Ho4 0.297 0.044 0.596
Ho5 0.454 0.707 0.775
Ho6 0.610 0.139 0.189
Ho7 0.707 0.454 0.775
Ho8 0.756 0.756 0.380
Zn1 0.374 0.374 0.248
Pt1 0.071 0.682 0.689
Pt2 0.682 0.071 0.689
# space-group type = No. 8
# E_form = -440 meV/atom

***

[8]
# HoZn12Pt4 (GGA-PBE, optimized geometry)
data_HoZn12Pt4
_cell_length_a 7.534
_cell_length_b 7.534
_cell_length_c 7.534
_cell_angle_alpha 109.47
_cell_angle_beta 109.47
_cell_angle_gamma 109.47
_symmetry_space_group_name_H-M 'P 1'
_symmetry_Int_Tables_number 1
loop_
_symmetry_equiv_pos_as_xyz
'x,y,z'
loop_
_atom_site_label
_atom_site_fract_x
_atom_site_fract_y
_atom_site_fract_z
Ho1 0.000 0.000 0.000
Zn1 0.151 0.351 0.502
Zn2 0.151 0.649 0.800
Zn3 0.200 0.849 0.351
Zn4 0.351 0.200 0.849
Zn5 0.351 0.502 0.151
Zn6 0.498 0.849 0.649
Zn7 0.502 0.151 0.351
Zn8 0.649 0.498 0.849
Zn9 0.649 0.800 0.151
Zn10 0.800 0.151 0.649
Zn11 0.849 0.351 0.200
Zn12 0.849 0.649 0.498
Pt1 0.000 0.000 0.500
Pt2 0.000 0.500 0.000
Pt3 0.500 0.000 0.000
Pt4 0.500 0.500 0.500
# space-group type = No. 204
# E_form = -96 meV/atom

***

[9]
# Ho2Zn9Pt3 (GGA-PBE, optimized geometry)
data_Ho2Zn9Pt3
_cell_length_a 7.727
_cell_length_b 7.727
_cell_length_c 10.449
_cell_angle_alpha 112.66
_cell_angle_beta 112.66
_cell_angle_gamma 57.38
_symmetry_space_group_name_H-M 'P 1'
_symmetry_Int_Tables_number 1
loop_
_symmetry_equiv_pos_as_xyz
'x,y,z'
loop_
_atom_site_label
_atom_site_fract_x
_atom_site_fract_y
_atom_site_fract_z
Ho1 0.099 0.244 0.237
Ho2 0.244 0.099 0.737
Ho3 0.756 0.901 0.263
Ho4 0.901 0.756 0.763
Zn1 0.048 0.843 0.098
Zn2 0.157 0.952 0.402
Zn3 0.196 0.377 0.573
Zn4 0.237 0.561 0.255
Zn5 0.320 0.487 0.948
Zn6 0.346 0.654 0.750
Zn7 0.377 0.196 0.073
Zn8 0.439 0.763 0.245
Zn9 0.487 0.320 0.448
Zn10 0.513 0.680 0.552
Zn11 0.561 0.237 0.755
Zn12 0.623 0.804 0.927
Zn13 0.654 0.346 0.250
Zn14 0.680 0.513 0.052
Zn15 0.763 0.439 0.745
Zn16 0.804 0.623 0.427
Zn17 0.843 0.048 0.598
Zn18 0.952 0.157 0.902
Pt1 0.000 0.500 0.000
Pt2 0.126 0.694 0.492
Pt3 0.306 0.874 0.008
Pt4 0.500 0.000 0.500
Pt5 0.694 0.126 0.992
Pt6 0.874 0.306 0.508
# space-group type = No. 15
# E_form = -543 meV/atom

***

[10]
# Ho3ZnPt2 (GGA-PBE, optimized geometry)
data_Ho3ZnPt2
_cell_length_a 11.827
_cell_length_b 3.986
_cell_length_c 11.658
_cell_angle_alpha 90.00
_cell_angle_beta 90.00
_cell_angle_gamma 90.00
_symmetry_space_group_name_H-M 'P 1'
_symmetry_Int_Tables_number 1
loop_
_symmetry_equiv_pos_as_xyz
'x,y,z'
loop_
_atom_site_label
_atom_site_fract_x
_atom_site_fract_y
_atom_site_fract_z
Ho1 0.046 0.250 0.126
Ho2 0.134 0.750 0.577
Ho3 0.208 0.250 0.823
Ho4 0.292 0.750 0.323
Ho5 0.366 0.250 0.077
Ho6 0.454 0.750 0.626
Ho7 0.546 0.250 0.374
Ho8 0.634 0.750 0.923
Ho9 0.708 0.250 0.677
Ho10 0.792 0.750 0.177
Ho11 0.866 0.250 0.423
Ho12 0.954 0.750 0.874
Zn1 0.118 0.250 0.380
Zn2 0.382 0.750 0.880
Zn3 0.618 0.250 0.120
Zn4 0.882 0.750 0.620
Pt1 0.001 0.250 0.694
Pt2 0.185 0.750 0.998
Pt3 0.315 0.250 0.498
Pt4 0.499 0.750 0.194
Pt5 0.501 0.250 0.806
Pt6 0.685 0.750 0.502
Pt7 0.815 0.250 0.002
Pt8 0.999 0.750 0.306
# space-group type = No. 62
# E_form = -948 meV/atom

***

[11]
# HoZrZnPt (GGA-PBE, optimized geometry)
data_HoZrZnPt
_cell_length_a 4.851
_cell_length_b 4.851
_cell_length_c 4.851
_cell_angle_alpha 60.00
_cell_angle_beta 60.00
_cell_angle_gamma 60.00
_symmetry_space_group_name_H-M 'P 1'
_symmetry_Int_Tables_number 1
loop_
_symmetry_equiv_pos_as_xyz
'x,y,z'
loop_
_atom_site_label
_atom_site_fract_x
_atom_site_fract_y
_atom_site_fract_z
Ho1 0.000 0.000 0.000
Zr1 0.500 0.500 0.500
Zn1 0.750 0.750 0.750
Pt1 0.250 0.250 0.250
# space-group type = No. 216
# E_form = -630 meV/atom

***

[12]
# HoZrPt4 (GGA-PBE, optimized geometry)
data_HoZrPt4
_cell_length_a 5.377
_cell_length_b 5.377
_cell_length_c 5.377
_cell_angle_alpha 60.00
_cell_angle_beta 60.00
_cell_angle_gamma 60.00
_symmetry_space_group_name_H-M 'P 1'
_symmetry_Int_Tables_number 1
loop_
_symmetry_equiv_pos_as_xyz
'x,y,z'
loop_
_atom_site_label
_atom_site_fract_x
_atom_site_fract_y
_atom_site_fract_z
Ho1 0.000 0.000 0.000
Zr1 0.250 0.250 0.250
Pt1 0.125 0.625 0.625
Pt2 0.625 0.125 0.625
Pt3 0.625 0.625 0.125
Pt4 0.625 0.625 0.625
# space-group type = No. 216
# E_form = -941 meV/atom

***

[13]
# HoPu2 (GGA-PBE, optimized geometry)
data_HoPu2
_cell_length_a 6.148
_cell_length_b 6.148
_cell_length_c 6.148
_cell_angle_alpha 60.00
_cell_angle_beta 60.00
_cell_angle_gamma 60.00
_symmetry_space_group_name_H-M 'P 1'
_symmetry_Int_Tables_number 1
loop_
_symmetry_equiv_pos_as_xyz
'x,y,z'
loop_
_atom_site_label
_atom_site_fract_x
_atom_site_fract_y
_atom_site_fract_z
Ho1 0.125 0.125 0.125
Ho2 0.875 0.875 0.875
Pu1 0.000 0.500 0.500
Pu2 0.500 0.000 0.500
Pu3 0.500 0.500 0.000
Pu4 0.500 0.500 0.500
# space-group type = No. 227
# E_form = 228 meV/atom
# polymorph energy (0 for the lowest one) = 0 meV per atom

***

[14]
# Ho2Pu (GGA-PBE, optimized geometry)
data_Ho2Pu
_cell_length_a 7.772
_cell_length_b 7.772
_cell_length_c 7.772
_cell_angle_alpha 154.12
_cell_angle_beta 154.12
_cell_angle_gamma 36.92
_symmetry_space_group_name_H-M 'P 1'
_symmetry_Int_Tables_number 1
loop_
_symmetry_equiv_pos_as_xyz
'x,y,z'
loop_
_atom_site_label
_atom_site_fract_x
_atom_site_fract_y
_atom_site_fract_z
Ho1 0.164 0.164 0.000
Ho2 0.836 0.836 0.000
Pu1 0.500 0.500 0.000
# space-group type = No. 139
# E_form = 106 meV/atom

***

[15]
# Ho5Pu (GGA-PBE, optimized geometry)
data_Ho5Pu
_cell_length_a 7.784
_cell_length_b 7.784
_cell_length_c 4.959
_cell_angle_alpha 90.00
_cell_angle_beta 90.00
_cell_angle_gamma 142.80
_symmetry_space_group_name_H-M 'P 1'
_symmetry_Int_Tables_number 1
loop_
_symmetry_equiv_pos_as_xyz
'x,y,z'
loop_
_atom_site_label
_atom_site_fract_x
_atom_site_fract_y
_atom_site_fract_z
Ho1 0.000 0.000 0.000
Ho2 0.165 0.835 0.500
Ho3 0.336 0.664 0.000
Ho4 0.664 0.336 0.000
Ho5 0.835 0.165 0.500
Pu1 0.500 0.500 0.500
# space-group type = No. 65
# E_form = 73 meV/atom
# polymorph energy (0 for the lowest one) = 11 meV per atom

***

[16]
# HoPu2 (GGA-PBE, optimized geometry)
data_HoPu2
_cell_length_a 6.420
_cell_length_b 6.420
_cell_length_c 6.420
_cell_angle_alpha 150.17
_cell_angle_beta 150.17
_cell_angle_gamma 42.68
_symmetry_space_group_name_H-M 'P 1'
_symmetry_Int_Tables_number 1
loop_
_symmetry_equiv_pos_as_xyz
'x,y,z'
loop_
_atom_site_label
_atom_site_fract_x
_atom_site_fract_y
_atom_site_fract_z
Ho1 0.000 0.000 0.000
Pu1 0.284 0.284 0.000
Pu2 0.716 0.716 0.000
# space-group type = No. 139
# E_form = 301 meV/atom
# polymorph energy (0 for the lowest one) = 72 meV per atom

***

[17]
# Ho13Pu2 (GGA-PBE, optimized geometry)
data_Ho13Pu2
_cell_length_a 6.527
_cell_length_b 8.794
_cell_length_c 8.820
_cell_angle_alpha 65.94
_cell_angle_beta 81.91
_cell_angle_gamma 81.64
_symmetry_space_group_name_H-M 'P 1'
_symmetry_Int_Tables_number 1
loop_
_symmetry_equiv_pos_as_xyz
'x,y,z'
loop_
_atom_site_label
_atom_site_fract_x
_atom_site_fract_y
_atom_site_fract_z
Ho1 0.000 0.000 0.000
Ho2 0.096 0.753 0.438
Ho3 0.203 0.194 0.204
Ho4 0.281 0.622 0.976
Ho5 0.298 0.961 0.636
Ho6 0.402 0.398 0.402
Ho7 0.497 0.172 0.834
Ho8 0.503 0.828 0.166
Ho9 0.598 0.602 0.598
Ho10 0.702 0.039 0.364
Ho11 0.719 0.378 0.024
Ho12 0.797 0.806 0.796
Ho13 0.904 0.247 0.562
Pu1 0.111 0.429 0.767
Pu2 0.889 0.571 0.233
# space-group type = No. 2
# E_form = 106 meV/atom

***

[18]
# HoPu6 (GGA-PBE, optimized geometry)
data_HoPu6
_cell_length_a 5.791
_cell_length_b 5.791
_cell_length_c 5.791
_cell_angle_alpha 109.47
_cell_angle_beta 109.47
_cell_angle_gamma 109.47
_symmetry_space_group_name_H-M 'P 1'
_symmetry_Int_Tables_number 1
loop_
_symmetry_equiv_pos_as_xyz
'x,y,z'
loop_
_atom_site_label
_atom_site_fract_x
_atom_site_fract_y
_atom_site_fract_z
Ho1 0.000 0.000 0.000
Pu1 0.250 0.500 0.750
Pu2 0.250 0.750 0.500
Pu3 0.500 0.250 0.750
Pu4 0.500 0.750 0.250
Pu5 0.750 0.250 0.500
Pu6 0.750 0.500 0.250
# space-group type = No. 229
# E_form = 132 meV/atom

***

[19]
# HoPu4 (GGA-PBE, optimized geometry)
data_HoPu4
_cell_length_a 5.545
_cell_length_b 5.545
_cell_length_c 5.545
_cell_angle_alpha 90.00
_cell_angle_beta 90.00
_cell_angle_gamma 90.00
_symmetry_space_group_name_H-M 'P 1'
_symmetry_Int_Tables_number 1
loop_
_symmetry_equiv_pos_as_xyz
'x,y,z'
loop_
_atom_site_label
_atom_site_fract_x
_atom_site_fract_y
_atom_site_fract_z
Ho1 0.000 0.000 0.000
Pu1 0.000 0.000 0.500
Pu2 0.000 0.500 0.000
Pu3 0.500 0.000 0.000
Pu4 0.500 0.500 0.500
# space-group type = No. 221
# E_form = 1154 meV/atom

***

[20]
# Ho5Pu (GGA-PBE, optimized geometry)
data_Ho5Pu
_cell_length_a 6.078
_cell_length_b 6.078
_cell_length_c 9.893
_cell_angle_alpha 114.24
_cell_angle_beta 114.24
_cell_angle_gamma 33.33
_symmetry_space_group_name_H-M 'P 1'
_symmetry_Int_Tables_number 1
loop_
_symmetry_equiv_pos_as_xyz
'x,y,z'
loop_
_atom_site_label
_atom_site_fract_x
_atom_site_fract_y
_atom_site_fract_z
Ho1 0.000 0.000 0.000
Ho2 0.334 0.334 0.171
Ho3 0.335 0.335 0.663
Ho4 0.665 0.665 0.337
Ho5 0.666 0.666 0.829
Pu1 0.000 0.000 0.500
# space-group type = No. 12
# E_form = 61 meV/atom
# polymorph energy (0 for the lowest one) = 0 meV per atom

***

[21]
# HoPu (GGA-PBE, optimized geometry)
data_HoPu
_cell_length_a 3.189
_cell_length_b 3.581
_cell_length_c 8.712
_cell_angle_alpha 90.00
_cell_angle_beta 92.36
_cell_angle_gamma 90.00
_symmetry_space_group_name_H-M 'P 1'
_symmetry_Int_Tables_number 1
loop_
_symmetry_equiv_pos_as_xyz
'x,y,z'
loop_
_atom_site_label
_atom_site_fract_x
_atom_site_fract_y
_atom_site_fract_z
Ho1 0.242 0.250 0.346
Ho2 0.758 0.750 0.654
Pu1 0.354 0.250 0.933
Pu2 0.646 0.750 0.067
# space-group type = No. 11
# E_form = 212 meV/atom